Here is a relaxed SmThZnOs crystal from Alexandria via LeMat-Bulk. Energies are from PBE-GGA.

Unit cell a=5.0657 b=5.0657 c=5.0657 alpha=60.00 beta=60.00 gamma=60.00
Closest atoms and distances in Å follow each position.
Positions (direct):
Zn: 0.0000 0.0000 0.0000  4 Th 3.10, 4 Sm 3.10
Os: 0.5000 0.5000 0.5000  4 Sm 3.10, 4 Th 3.10
Sm: 0.2500 0.2500 0.2500  4 Zn 3.10, 4 Os 3.10
Th: 0.7500 0.7500 0.7500  4 Zn 3.10, 4 Os 3.10

Computed properties:
**DFT total energy**: -25.4 eV per cell
**DFT formation energy**: -196 meV per atom
**Magnetic moment**: 0.00 μB per formula unit

=====

Here is a relaxed SmTiOs crystal from Alexandria via LeMat-Bulk. Energies are from PBE-GGA.

Unit cell a=4.2311 b=6.9205 c=12.8567 alpha=91.69 beta=90.00 gamma=90.00
Closest atoms and distances in Å follow each position.
Positions (direct):
Sm: 0.7500 0.5065 0.3737  5 Os 3.04-3.12, 5 Ti 3.26-3.40
Sm: 0.2500 0.0111 0.7077  5 Os 2.88-3.15, 2 Ti 3.19
Sm: 0.7500 0.9889 0.2923  5 Os 2.88-3.15, 2 Ti 3.19
Sm: 0.7500 0.6348 0.0820  3 Os 2.97-3.08, 2 Ti 3.16
Sm: 0.2500 0.4935 0.6263  5 Os 3.04-3.12, 5 Ti 3.26-3.40
Sm: 0.2500 0.3652 0.9180  3 Os 2.97-3.08, 2 Ti 3.16
Os: 0.2500 0.8074 0.8998  5 Ti 2.60-2.66, 1 Sm 2.88
Os: 0.7500 0.3022 0.7588  2 Ti 2.52-2.82
Os: 0.7500 0.7873 0.5684  3 Ti 2.49-2.57
Os: 0.7500 0.1926 0.1002  5 Ti 2.60-2.66, 1 Sm 2.88
Os: 0.2500 0.2127 0.4316  3 Ti 2.49-2.57
Os: 0.2500 0.6978 0.2412  2 Ti 2.52-2.82
Ti: 0.2500 0.9732 0.0835  4 Os 2.60-2.82, 1 Ti 2.91
Ti: 0.2500 0.8588 0.4627  3 Os 2.49-2.57
Ti: 0.7500 0.6612 0.7995  3 Os 2.52-2.66
Ti: 0.7500 0.1412 0.5373  3 Os 2.49-2.57
Ti: 0.2500 0.3388 0.2005  3 Os 2.52-2.66
Ti: 0.7500 0.0268 0.9165  4 Os 2.60-2.82, 1 Ti 2.91

Computed properties:
**DFT total energy**: -147.5 eV per cell
**DFT formation energy**: -248 meV per atom
**Magnetic moment**: 0.00 μB per formula unit

=====

Here is a relaxed Sm2TlOs crystal from Alexandria via LeMat-Bulk. Energies are from PBE-GGA.

Unit cell a=3.4360 b=3.4360 c=8.6813 alpha=90.00 beta=90.00 gamma=90.00
Closest atoms and distances in Å follow each position.
Positions (direct):
Tl: 0.5000 0.5000 0.5000  4 Tl 3.44, 8 Sm 3.57
Os: 0.5000 0.5000 0.0000  8 Sm 2.98
Sm: 0.0000 0.0000 0.8013  4 Os 2.98
Sm: 0.0000 0.0000 0.1987  4 Os 2.98

Computed properties:
**DFT total energy**: -23.9 eV per cell
**DFT formation energy**: -218 meV per atom
**Energy above the most stable polymorph in this dataset**: 0.000 eV/f.u.
**Magnetic moment**: 0.00 μB per formula unit

=====

Here is a relaxed Sm2TlOs crystal from Alexandria via LeMat-Bulk. Energies are from PBE-GGA.

Unit cell a=5.1715 b=5.1715 c=5.1715 alpha=60.00 beta=60.00 gamma=60.00
Closest atoms and distances in Å follow each position.
Positions (direct):
Tl: 0.5000 0.5000 0.5000  8 Sm 3.17
Os: 0.0000 0.0000 0.0000  8 Sm 3.17
Sm: 0.2500 0.2500 0.2500  4 Tl 3.17, 4 Os 3.17
Sm: 0.7500 0.7500 0.7500  4 Tl 3.17, 4 Os 3.17

Computed properties:
**DFT total energy**: -23.3 eV per cell
**DFT formation energy**: -70 meV per atom
**Energy above the most stable polymorph in this dataset**: 0.594 eV/f.u.
**Magnetic moment**: 0.00 μB per formula unit

=====

Here is a relaxed Sm7Tl2Os2 crystal from Alexandria via LeMat-Bulk. Energies are from PBE-GGA.

Unit cell a=6.9730 b=7.2359 c=6.9730 alpha=90.00 beta=106.24 gamma=90.00
Closest atoms and distances in Å follow each position.
Positions (direct):
Sm: 0.9998 0.2467 0.5003  2 Os 2.79
Sm: 0.5003 0.7533 0.9998  2 Os 2.79
Sm: 0.0002 0.7533 0.4997  2 Os 2.79
Sm: 0.4997 0.2467 0.0002  2 Os 2.79
Sm: 0.0000 0.0000 0.0000  2 Os 3.25
Sm: 0.5002 0.7611 0.4998  2 Os 2.90
Sm: 0.4998 0.2389 0.5002  2 Os 2.90
Tl: 0.8212 0.5000 0.8212  1 Tl 2.99, 2 Sm 3.29
Tl: 0.1788 0.5000 0.1788  1 Tl 2.99, 2 Sm 3.29
Os: 0.7089 0.0000 0.2911  6 Sm 2.79-2.90
Os: 0.2911 0.0000 0.7089  6 Sm 2.79-2.90

Computed properties:
**DFT total energy**: -61.8 eV per cell
**DFT formation energy**: -143 meV per atom
**Magnetic moment**: 0.00 μB per formula unit

=====

Here is a relaxed Sm8Tl2Os crystal from Alexandria via LeMat-Bulk. Energies are from PBE-GGA.

Unit cell a=5.3458 b=7.0225 c=9.7621 alpha=110.22 beta=105.89 gamma=90.00
Closest atoms and distances in Å follow each position.
Positions (direct):
Sm: 0.4102 0.5716 0.8204  1 Os 2.87
Sm: 0.6472 0.9592 0.2943  1 Os 2.88
Sm: 0.7959 0.7023 0.5917  3 Tl 3.18-3.52, 2 Sm 3.48
Sm: 0.9857 0.2120 0.9715  2 Os 3.12, 3 Sm 3.21-3.34, 1 Tl 3.25
Sm: 0.2041 0.2977 0.4083  3 Tl 3.18-3.52, 2 Sm 3.48
Sm: 0.3528 0.0408 0.7057  1 Os 2.88
Sm: 0.5898 0.4284 0.1796  1 Os 2.87
Sm: 0.0143 0.7880 0.0285  2 Os 3.12, 3 Sm 3.21-3.34, 1 Tl 3.25
Tl: 0.8239 0.2824 0.6478  9 Sm 3.18-3.52
Tl: 0.1761 0.7176 0.3522  9 Sm 3.18-3.52
Os: 0.5000 0.0000 0.0000  8 Sm 2.87-3.12

Computed properties:
**DFT total energy**: -55.5 eV per cell
**DFT formation energy**: -164 meV per atom
**Magnetic moment**: 0.00 μB per formula unit

=====

Here is a relaxed Sm2TlOs crystal from Alexandria via LeMat-Bulk. Energies are from PBE-GGA.

Unit cell a=3.9978 b=3.9978 c=10.1680 alpha=78.66 beta=78.66 gamma=60.00
Closest atoms and distances in Å follow each position.
Positions (direct):
Tl: 0.0000 0.0000 0.0000  2 Sm 3.40
Os: 0.5000 0.5000 0.5000  6 Sm 2.78
Sm: 0.1145 0.1145 0.6565  3 Os 2.78
Sm: 0.8855 0.8855 0.3435  3 Os 2.78

Computed properties:
**DFT total energy**: -22.5 eV per cell
**DFT formation energy**: 145 meV per atom
**Energy above the most stable polymorph in this dataset**: 1.455 eV/f.u.
**Magnetic moment**: 0.00 μB per formula unit

=====

Here is a relaxed Sm6TlOs crystal from Alexandria via LeMat-Bulk. Energies are from PBE-GGA.

Unit cell a=6.6061 b=8.0294 c=6.5899 alpha=52.47 beta=81.02 gamma=75.15
Closest atoms and distances in Å follow each position.
Positions (direct):
Sm: 0.7863 0.5567 0.6313  1 Os 2.71
Sm: 0.7863 0.1880 0.3687  1 Os 2.71
Sm: 0.2137 0.8120 0.6313  1 Os 2.71
Sm: 0.2137 0.4433 0.3687  1 Os 2.71
Sm: 0.6523 0.7822 0.0000  1 Os 2.70
Sm: 0.3477 0.2178 0.0000  1 Os 2.70
Tl: 0.0000 0.0000 0.0000  6 Sm 3.22-3.53
Os: 0.5000 0.5000 0.0000  6 Sm 2.70-2.71

Computed properties:
**DFT total energy**: -41.8 eV per cell
**DFT formation energy**: 18 meV per atom
**Magnetic moment**: 0.00 μB per formula unit

=====

Here is a relaxed Sm6TlOs2 crystal from Alexandria via LeMat-Bulk. Energies are from PBE-GGA.

Unit cell a=8.6936 b=8.6936 c=8.6936 alpha=105.18 beta=110.62 gamma=112.71
Closest atoms and distances in Å follow each position.
Positions (direct):
Sm: 0.5339 0.7190 0.8149  3 Os 3.06-3.08, 1 Tl 3.27
Sm: 0.4661 0.2810 0.1851  3 Os 3.06-3.08, 1 Tl 3.27
Sm: 0.0959 0.2810 0.8149  3 Os 3.06-3.08, 1 Tl 3.27
Sm: 0.9041 0.7190 0.1851  3 Os 3.06-3.08, 1 Tl 3.27
Sm: 0.7906 0.7603 0.5509  1 Os 2.82
Sm: 0.2094 0.2397 0.4491  1 Os 2.82
Sm: 0.2094 0.7603 0.9697  1 Os 2.82
Sm: 0.7906 0.2397 0.0303  1 Os 2.82
Sm: 0.6882 0.3584 0.6703  3 Os 2.88-3.04
Sm: 0.3118 0.6416 0.3297  3 Os 2.88-3.04
Sm: 0.3118 0.9821 0.6703  3 Os 2.88-3.04
Sm: 0.6882 0.0179 0.3297  3 Os 2.88-3.04
Tl: 0.0000 0.5000 0.5000  12 Sm 3.44-3.76
Tl: 0.0000 0.0000 0.0000  8 Sm 3.27, 2 Os 3.30
Os: 0.5000 0.3826 0.8826  1 Os 2.48
Os: 0.5000 0.6174 0.1174  1 Os 2.48
Os: 0.6661 0.0000 0.6661  8 Sm 2.82-3.08
Os: 0.3339 0.0000 0.3339  8 Sm 2.82-3.08

Computed properties:
**DFT total energy**: -110.0 eV per cell
**DFT formation energy**: -207 meV per atom
**Magnetic moment**: 0.00 μB per formula unit

=====

Here is a relaxed Sm5TlOs2 crystal from Alexandria via LeMat-Bulk. Energies are from PBE-GGA.

Unit cell a=7.9156 b=7.9156 c=8.9349 alpha=116.29 beta=116.29 gamma=90.00
Closest atoms and distances in Å follow each position.
Positions (direct):
Sm: 0.5296 0.7087 0.7383  3 Os 2.89-3.00
Sm: 0.7913 0.9704 0.2617  3 Os 2.89-3.00
Sm: 0.0000 0.0000 0.0000  4 Os 3.06
Sm: 0.5000 0.5000 0.0000  4 Os 3.06
Sm: 0.2087 0.0296 0.7383  3 Os 2.89-3.00
Sm: 0.7087 0.2087 0.7383  3 Os 2.89-3.00
Sm: 0.0296 0.5296 0.7383  3 Os 2.89-3.00
Sm: 0.2913 0.7913 0.2617  3 Os 2.89-3.00
Sm: 0.9704 0.4704 0.2617  3 Os 2.89-3.00
Sm: 0.4704 0.2913 0.2617  3 Os 2.89-3.00
Tl: 0.7500 0.7500 0.5000  10 Sm 3.40-3.48
Tl: 0.2500 0.2500 0.5000  10 Sm 3.40-3.48
Os: 0.1395 0.3605 0.0000  8 Sm 2.89-3.06, 1 Os 3.12
Os: 0.6395 0.1395 0.0000  8 Sm 2.89-3.06, 1 Os 3.12
Os: 0.3605 0.8605 0.0000  8 Sm 2.89-3.06, 1 Os 3.12
Os: 0.8605 0.6395 0.0000  8 Sm 2.89-3.06, 1 Os 3.12

Computed properties:
**DFT total energy**: -100.5 eV per cell
**DFT formation energy**: -231 meV per atom
**Magnetic moment**: 0.00 μB per formula unit

=====

Here is a relaxed SmTmTlOs crystal from Alexandria via LeMat-Bulk. Energies are from PBE-GGA.

Unit cell a=5.0875 b=5.0875 c=5.0875 alpha=60.00 beta=60.00 gamma=60.00
Closest atoms and distances in Å follow each position.
Positions (direct):
Tl: 0.0000 0.0000 0.0000  4 Tm 3.12, 4 Sm 3.12
Tm: 0.2500 0.2500 0.2500  4 Os 3.12, 4 Tl 3.12
Os: 0.5000 0.5000 0.5000  4 Sm 3.12, 4 Tm 3.12
Sm: 0.7500 0.7500 0.7500  4 Os 3.12, 4 Tl 3.12

Computed properties:
**DFT total energy**: -23.3 eV per cell
**DFT formation energy**: -117 meV per atom
**Magnetic moment**: 0.00 μB per formula unit

=====

Here is a relaxed SmTm2Os crystal from Alexandria via LeMat-Bulk. Energies are from PBE-GGA.

Unit cell a=6.3205 b=7.4430 c=8.9427 alpha=90.00 beta=90.00 gamma=90.00
Closest atoms and distances in Å follow each position.
Positions (direct):
Sm: 0.6260 0.5382 0.2500  2 Os 2.79-2.92
Sm: 0.8740 0.0382 0.2500  2 Os 2.79-2.92
Sm: 0.3740 0.4618 0.7500  2 Os 2.79-2.92
Sm: 0.1260 0.9618 0.7500  2 Os 2.79-2.92
Tm: 0.1620 0.6736 0.0634  3 Os 2.83-3.13
Tm: 0.3380 0.1736 0.4366  3 Os 2.83-3.13
Tm: 0.8380 0.3264 0.5634  3 Os 2.83-3.13
Tm: 0.6620 0.8264 0.9366  3 Os 2.83-3.13
Tm: 0.8380 0.3264 0.9366  3 Os 2.83-3.13
Tm: 0.6620 0.8264 0.5634  3 Os 2.83-3.13
Tm: 0.1620 0.6736 0.4366  3 Os 2.83-3.13
Tm: 0.3380 0.1736 0.0634  3 Os 2.83-3.13
Os: 0.0492 0.3821 0.2500  2 Sm 2.79-2.92, 4 Tm 2.83-2.92
Os: 0.4508 0.8821 0.2500  2 Sm 2.79-2.92, 4 Tm 2.83-2.92
Os: 0.9508 0.6179 0.7500  2 Sm 2.79-2.92, 4 Tm 2.83-2.92
Os: 0.5492 0.1179 0.7500  2 Sm 2.79-2.92, 4 Tm 2.83-2.92

Computed properties:
**DFT total energy**: -103.7 eV per cell
**DFT formation energy**: -258 meV per atom
**Energy above the most stable polymorph in this dataset**: 0.000 eV/f.u.
**Magnetic moment**: 0.00 μB per formula unit